The following is a PBE calculation of a geometry-optimized MgGeAsBr2 structure, from the Alexandria database.

Cell: 5.0040 5.0040 5.5009 Å, 90.00 90.00 90.00°
Fractional coordinates of all 5 atoms:
Mg  0.0000  0.0000  0.0000
Ge  0.5000  0.5000  0.5000
As  0.0000  0.0000  0.5000
Br  0.0000  0.5000  0.0000
Br  0.5000  0.0000  0.0000

Output
Formation energy (no corrections) in eV per formula unit: 0.07
D(E_F) in states/eV per cell: 3.4
SG: P4/mmm, No. 123
Excess energy over the best structure of this formula in the dataset in meV per atom: 0
Calculated volume in Å³ per cell: 138